# LiIn2Re

LiIn2Re after structural relaxation (PBE, Alexandria).

```
data_LiIn2Re
_chemical_formula_sum 'Li1 In2 Re1'
_cell_length_a 3.619
_cell_length_b 3.619
_cell_length_c 5.738
_cell_angle_alpha 90.00
_cell_angle_beta 90.00
_cell_angle_gamma 90.00
_symmetry_space_group_name_H-M 'P 1'
_symmetry_Int_Tables_number 1
_symmetry_space_group_name_Hall 'P 1'
loop_
_atom_site_label
_atom_site_type_symbol
_atom_site_fract_x
_atom_site_fract_y
_atom_site_fract_z
Li1 Li 0.000 0.000 0.509
Re1 Re 0.500 0.500 0.761
In1 In 0.500 0.500 0.278
In2 In 0.000 0.000 0.952
```

Summary:
Energy ... -4.505 eV per atom
Energy of formation ... 0.46 eV per atom
Space-group type ... P4mm, No. 99
Crystal system ... tetragonal


# Ac2YScTe5

Ac2YScTe5 after structural relaxation (PBE, Alexandria).

```
data_Ac2YScTe5
_chemical_formula_sum 'Ac4 Y2 Sc2 Te10'
_cell_length_a 4.465
_cell_length_b 9.636
_cell_length_c 14.306
_cell_angle_alpha 90.00
_cell_angle_beta 90.00
_cell_angle_gamma 103.40
_symmetry_space_group_name_H-M 'P 1'
_symmetry_Int_Tables_number 1
_symmetry_space_group_name_Hall 'P 1'
loop_
_atom_site_label
_atom_site_type_symbol
_atom_site_fract_x
_atom_site_fract_y
_atom_site_fract_z
Y1 Y 0.206 0.412 0.012
Y2 Y 0.794 0.588 0.512
Te1 Te 0.485 0.971 0.767
Te2 Te 0.515 0.029 0.267
Te3 Te 0.280 0.560 0.662
Te4 Te 0.947 0.894 0.570
Te5 Te 0.053 0.106 0.070
Te6 Te 0.372 0.744 0.000
Te7 Te 0.677 0.354 0.862
Te8 Te 0.720 0.440 0.162
Te9 Te 0.323 0.646 0.362
Te10 Te 0.628 0.256 0.500
Sc1 Sc 0.530 0.060 0.953
Sc2 Sc 0.470 0.940 0.453
Ac1 Ac 0.105 0.210 0.687
Ac2 Ac 0.143 0.286 0.311
Ac3 Ac 0.895 0.790 0.187
Ac4 Ac 0.857 0.714 0.811
```

Summary:
Energy ... -5.467 eV per atom
Formation energy without anion corrections ... -1.387 eV per atom
Space-group type ... Cmc2_1, No. 36
Crystal system ... orthorhombic


# CeCu3Si2

CeCu3Si2 after structural relaxation (PBE, Alexandria).

```
data_CeCu3Si2
_chemical_formula_sum 'Ce2 Cu6 Si4'
_cell_length_a 3.967
_cell_length_b 7.712
_cell_length_c 7.119
_cell_angle_alpha 114.38
_cell_angle_beta 90.00
_cell_angle_gamma 104.90
_symmetry_space_group_name_H-M 'P 1'
_symmetry_Int_Tables_number 1
_symmetry_space_group_name_Hall 'P 1'
loop_
_atom_site_label
_atom_site_type_symbol
_atom_site_fract_x
_atom_site_fract_y
_atom_site_fract_z
Cu1 Cu 0.314 0.629 0.552
Cu2 Cu 0.686 0.371 0.448
Cu3 Cu 0.964 0.928 0.629
Cu4 Cu 0.403 0.806 0.322
Cu5 Cu 0.597 0.194 0.678
Cu6 Cu 0.036 0.072 0.371
Ce1 Ce 0.150 0.300 0.072
Ce2 Ce 0.850 0.700 0.928
Si1 Si 0.810 0.619 0.318
Si2 Si 0.520 0.039 0.177
Si3 Si 0.190 0.381 0.682
Si4 Si 0.480 0.961 0.823
```

Summary:
Energy ... -5.274 eV per atom
Formation energy without anion corrections ... -0.430 eV per atom
Space-group type ... C2/m, No. 12
Crystal system ... monoclinic


# SrNbNiAg

SrNbNiAg after structural relaxation (PBE, Alexandria).

```
data_SrNbNiAg
_chemical_formula_sum 'Sr1 Nb1 Ni1 Ag1'
_cell_length_a 3.358
_cell_length_b 3.357
_cell_length_c 7.431
_cell_angle_alpha 90.00
_cell_angle_beta 90.00
_cell_angle_gamma 90.00
_symmetry_space_group_name_H-M 'P 1'
_symmetry_Int_Tables_number 1
_symmetry_space_group_name_Hall 'P 1'
loop_
_atom_site_label
_atom_site_type_symbol
_atom_site_fract_x
_atom_site_fract_y
_atom_site_fract_z
Ag1 Ag 0.000 0.500 0.126
Sr1 Sr 0.500 0.000 0.440
Nb1 Nb 0.500 0.000 0.891
Ni1 Ni 0.000 0.500 0.756
```

Summary:
Energy ... -4.948 eV per atom
Energy of formation ... 0.15 eV per atom
Space-group type ... P4mm, No. 99
Crystal system ... tetragonal


# Li3TaGa

Li3TaGa after structural relaxation (PBE, Alexandria).

```
data_Li3TaGa
_chemical_formula_sum 'Li3 Ta1 Ga1'
_cell_length_a 5.082
_cell_length_b 5.082
_cell_length_c 5.082
_cell_angle_alpha 90.00
_cell_angle_beta 90.00
_cell_angle_gamma 90.00
_symmetry_space_group_name_H-M 'P 1'
_symmetry_Int_Tables_number 1
_symmetry_space_group_name_Hall 'P 1'
loop_
_atom_site_label
_atom_site_type_symbol
_atom_site_fract_x
_atom_site_fract_y
_atom_site_fract_z
Ga1 Ga 0.500 0.500 0.500
Li1 Li 0.500 0.000 0.000
Li2 Li 0.000 0.000 0.500
Li3 Li 0.000 0.500 0.000
Ta1 Ta 0.000 0.000 0.000
```

Summary:
Energy ... -2.717 eV per atom
Energy of formation ... 1.41 eV per atom
Space-group type ... Pm-3m, No. 221
Crystal system ... cubic


# NpGaBi2

NpGaBi2 after structural relaxation (PBE, Alexandria).

```
data_NpGaBi2
_chemical_formula_sum 'Np1 Ga1 Bi2'
_cell_length_a 4.854
_cell_length_b 4.854
_cell_length_c 6.894
_cell_angle_alpha 69.39
_cell_angle_beta 69.39
_cell_angle_gamma 60.00
_symmetry_space_group_name_H-M 'P 1'
_symmetry_Int_Tables_number 1
_symmetry_space_group_name_Hall 'P 1'
loop_
_atom_site_label
_atom_site_type_symbol
_atom_site_fract_x
_atom_site_fract_y
_atom_site_fract_z
Bi1 Bi 0.254 0.254 0.237
Bi2 Bi 0.083 0.083 0.750
Np1 Np 0.666 0.666 0.002
Ga1 Ga 0.496 0.496 0.511
```

Summary:
Energy ... -5.682 eV per atom
Energy of formation ... 0.25 eV per atom
Space-group type ... R3m, No. 160
Crystal system ... trigonal


What is the energy in the sixth record? -5.682 eV per atom